VASP calculation (PBE) on a relaxed InAgHPd2 crystal.

Lattice parameters (Å, degrees): 4.123 4.123 4.165 90.00 90.00 90.00
Fractional coordinates of all 5 atoms:
In (0.000, 0.000, 0.000)
Ag (0.500, 0.500, 0.000)
H (0.500, 0.500, 0.500)
Pd (0.000, 0.500, 0.500)
Pd (0.500, 0.000, 0.500)

Results
The calculation puts the electronic total energy at -4.104 eV per atom. As for the space group: P4/mmm (123). For the magnetic moment, the calculation gives 0.00 μB per atom.